# 1
# ScTe2Rh

A geometry-optimized ScTe2Rh structure (PBE-GGA, Alexandria). Values from VASP.

The structure in Quantum ESPRESSO input format:
```
&SYSTEM
  ibrav = 0, nat = 4, ntyp = 3
/
ATOMIC_SPECIES
Rh 102.91 Rh.upf
Sc 44.96 Sc.upf
Te 127.60 Te.upf
ATOMIC_POSITIONS crystal
Rh 0.0000 0.3750 0.4781
Sc 0.5000 0.8748 0.7656
Te 0.0000 0.8754 0.9653
Te 0.5000 0.3749 0.2910
CELL_PARAMETERS angstrom
-1.9167 4.7891 1.5503
-1.9542 0.3293 -3.4333
-3.3450 -1.8962 1.7219
```

Properties
Its space-group type is Pmm2 (25). The polymorph energy (0 for the lowest one) comes out at 94 meV/atom. Its formation energy from raw total energies is -65 kJ per mole of atoms.

---

# 2
# Cs2NaCrI6

A geometry-optimized Cs2NaCrI6 structure (PBE-GGA, Alexandria). Values from VASP.

The structure in Quantum ESPRESSO input format:
```
&SYSTEM
  ibrav = 0, nat = 10, ntyp = 4
/
ATOMIC_SPECIES
Cs 132.91 Cs.upf
Na 22.99 Na.upf
Cr 52.00 Cr.upf
I 126.90 I.upf
ATOMIC_POSITIONS crystal
Cs 0.1945 0.3333 0.6667
Cs 0.8055 0.6667 0.3333
Na 0.5000 0.0000 0.0000
Cr 0.0000 0.0000 0.0000
I 0.7901 0.1578 0.3155
I 0.7901 0.1578 0.8422
I 0.7901 0.6845 0.8422
I 0.2099 0.8422 0.1578
I 0.2099 0.3155 0.1578
I 0.2099 0.8422 0.6845
CELL_PARAMETERS angstrom
7.6512 0.0000 0.0000
0.0000 8.3158 0.0000
0.0000 -4.1579 7.2017
```

Properties
Its space-group type is P-3m1 (164). The polymorph energy (0 for the lowest one) comes out at 0 meV/atom. Its formation energy from raw total energies is -100 kJ per mole of atoms.

---

# 3
# NaNdTlCd

A geometry-optimized NaNdTlCd structure (PBE-GGA, Alexandria). Values from VASP.

The structure in Quantum ESPRESSO input format:
```
&SYSTEM
  ibrav = 0, nat = 4, ntyp = 4
/
ATOMIC_SPECIES
Na 22.99 Na.upf
Tl 204.38 Tl.upf
Nd 144.24 Nd.upf
Cd 112.41 Cd.upf
ATOMIC_POSITIONS crystal
Na 0.2500 0.2500 0.2500
Tl 0.5000 0.5000 0.5000
Nd 0.7500 0.7500 0.7500
Cd 0.0000 0.0000 0.0000
CELL_PARAMETERS angstrom
-2.1762 -4.3855 -2.1959
3.1312 -3.6277 -2.4136
0.7785 -4.8022 2.2635
```

Properties
Its space-group type is F-43m (216). The formation energy from the elements is -0.242 eV per atom.

---

# 4
# Rb3ScCl

A geometry-optimized Rb3ScCl structure (PBE-GGA, Alexandria). Values from VASP.

The structure in Quantum ESPRESSO input format:
```
&SYSTEM
  ibrav = 0, nat = 5, ntyp = 3
/
ATOMIC_SPECIES
Sc 44.96 Sc.upf
Rb 85.47 Rb.upf
Cl 35.45 Cl.upf
ATOMIC_POSITIONS crystal
Sc 0.5000 0.5000 0.5000
Rb 0.0000 0.5000 0.0000
Rb 0.0000 0.0000 0.5000
Rb 0.5000 0.0000 0.0000
Cl 0.0000 0.0000 0.0000
CELL_PARAMETERS angstrom
-6.0885 -0.9985 2.0443
2.1096 -4.6649 4.0044
0.8520 4.4146 4.6938
```

Properties
Its space-group type is Pm-3m (221). The polymorph energy (0 for the lowest one) comes out at 0 meV/atom. Its formation energy from raw total energies is -19 kJ per mole of atoms.

---

# 5
# LiTbMg6

A geometry-optimized LiTbMg6 structure (PBE-GGA, Alexandria). Values from VASP.

The structure in Quantum ESPRESSO input format:
```
&SYSTEM
  ibrav = 0, nat = 8, ntyp = 3
/
ATOMIC_SPECIES
Li 6.94 Li.upf
Tb 158.93 Tb.upf
Mg 24.30 Mg.upf
ATOMIC_POSITIONS crystal
Li 0.0000 0.0000 0.5000
Tb 0.0000 0.0000 0.0000
Mg 0.5000 0.5000 0.0000
Mg 0.5000 0.5000 0.5000
Mg 0.5000 0.0000 0.2693
Mg 0.5000 0.0000 0.7307
Mg 0.0000 0.5000 0.2693
Mg 0.0000 0.5000 0.7307
CELL_PARAMETERS angstrom
4.7848 0.0000 0.0000
0.0000 4.7848 0.0000
0.0000 0.0000 8.2840
```

Properties
Its space-group type is P4/mmm (123). The formation energy from the elements is -0.037 eV per atom.

---

# 6
# K2AlIr2S6

A geometry-optimized K2AlIr2S6 structure (PBE-GGA, Alexandria). Values from VASP.

The structure in Quantum ESPRESSO input format:
```
&SYSTEM
  ibrav = 0, nat = 11, ntyp = 4
/
ATOMIC_SPECIES
K 39.10 K.upf
Al 26.98 Al.upf
Ir 192.22 Ir.upf
S 32.06 S.upf
ATOMIC_POSITIONS crystal
K 0.8347 0.1653 0.0000
K 0.1653 0.8347 0.0000
Al 0.0000 0.0000 0.5000
Ir 0.3336 0.6664 0.5000
Ir 0.6664 0.3336 0.5000
S 0.7122 0.7122 0.6700
S 0.0554 0.3973 0.6684
S 0.2878 0.2878 0.3300
S 0.3973 0.0554 0.6684
S 0.9446 0.6027 0.3316
S 0.6027 0.9446 0.3316
CELL_PARAMETERS angstrom
-2.5639 0.9335 -5.6487
2.9873 -5.3624 1.2936
-6.3625 -1.4184 3.8012
```

Properties
Its space-group type is C2/m (12). Its formation energy from raw total energies is -75 kJ per mole of atoms.

---

# 7
# InCu2PtW

A geometry-optimized InCu2PtW structure (PBE-GGA, Alexandria). Values from VASP.

The structure in Quantum ESPRESSO input format:
```
&SYSTEM
  ibrav = 0, nat = 5, ntyp = 4
/
ATOMIC_SPECIES
Cu 63.55 Cu.upf
W 183.84 W.upf
Pt 195.08 Pt.upf
In 114.82 In.upf
ATOMIC_POSITIONS crystal
Cu 0.0000 0.0000 0.5000
Cu 0.5000 0.0000 0.0000
W 0.0000 0.0000 0.0000
Pt 0.5000 0.5000 0.5000
In 0.0000 0.5000 0.0000
CELL_PARAMETERS angstrom
4.5843 0.0000 0.0000
0.0000 5.2302 0.0000
0.0000 0.0000 4.5843
```

Properties
Its space-group type is P4/mmm (123). The formation energy from the elements is 1.634 eV per atom.

---

# 8
# ZnGaPd4

A geometry-optimized ZnGaPd4 structure (PBE-GGA, Alexandria). Values from VASP.

The structure in Quantum ESPRESSO input format:
```
&SYSTEM
  ibrav = 0, nat = 24, ntyp = 3
/
ATOMIC_SPECIES
Zn 65.41 Zn.upf
Ga 69.72 Ga.upf
Pd 106.42 Pd.upf
ATOMIC_POSITIONS crystal
Zn 0.7500 0.7136 0.8122
Zn 0.2500 0.2864 0.1878
Zn 0.2500 0.7864 0.3122
Zn 0.7500 0.2136 0.6878
Ga 0.7500 0.2477 0.4522
Ga 0.2500 0.7523 0.5478
Ga 0.2500 0.2523 0.9522
Ga 0.7500 0.7477 0.0478
Pd 0.7500 0.8446 0.6639
Pd 0.2500 0.1554 0.3361
Pd 0.2500 0.6554 0.1639
Pd 0.7500 0.3446 0.8361
Pd 0.7500 0.8912 0.4362
Pd 0.2500 0.1088 0.5638
Pd 0.2500 0.6088 0.9362
Pd 0.7500 0.3912 0.0638
Pd 0.7500 0.9645 0.9273
Pd 0.2500 0.0355 0.0727
Pd 0.2500 0.5355 0.4273
Pd 0.7500 0.4645 0.5727
Pd 0.7500 0.9791 0.2118
Pd 0.2500 0.0209 0.7882
Pd 0.2500 0.5209 0.7118
Pd 0.7500 0.4791 0.2882
CELL_PARAMETERS angstrom
2.9224 0.0000 0.0000
0.0000 7.1550 0.0000
0.0000 0.0000 17.2098
```

Properties
Its space-group type is Pnma (62). The polymorph energy (0 for the lowest one) comes out at 0 meV/atom. The formation energy from the elements is -0.504 eV per atom.

---

# 9
# ThIrRh

A geometry-optimized ThIrRh structure (PBE-GGA, Alexandria). Values from VASP.

The structure in Quantum ESPRESSO input format:
```
&SYSTEM
  ibrav = 0, nat = 3, ntyp = 3
/
ATOMIC_SPECIES
Ir 192.22 Ir.upf
Rh 102.91 Rh.upf
Th 232.04 Th.upf
ATOMIC_POSITIONS crystal
Ir 0.1667 0.3333 0.6667
Rh 0.1667 0.0000 0.0000
Th 0.6666 0.6667 0.3333
CELL_PARAMETERS angstrom
3.8889 0.0000 0.0000
0.0000 4.3622 0.0000
0.0000 -2.1811 3.7778
```

Properties
Its space-group type is P-6m2 (187). The polymorph energy (0 for the lowest one) comes out at 73 meV/atom. The formation energy from the elements is -0.718 eV per atom.

---

# 10
# HfOsNO2

A geometry-optimized HfOsNO2 structure (PBE-GGA, Alexandria). Values from VASP.

The structure in Quantum ESPRESSO input format:
```
&SYSTEM
  ibrav = 0, nat = 5, ntyp = 4
/
ATOMIC_SPECIES
Hf 178.49 Hf.upf
Os 190.23 Os.upf
O 16.00 O.upf
N 14.01 N.upf
ATOMIC_POSITIONS crystal
Hf 0.0000 0.0000 0.0000
Os 0.5000 0.5000 0.5000
O 0.0000 0.5000 0.0000
O 0.5000 0.0000 0.0000
N 0.0000 0.0000 0.5000
CELL_PARAMETERS angstrom
3.9753 0.0000 0.0000
0.0000 3.9753 0.0000
0.0000 0.0000 4.3985
```

Properties
Its space-group type is P4/mmm (123). Its formation energy from raw total energies is -20 kJ per mole of atoms.

---

# 11
# NdSm3Pa2N6

A geometry-optimized NdSm3Pa2N6 structure (PBE-GGA, Alexandria). Values from VASP.

The structure in Quantum ESPRESSO input format:
```
&SYSTEM
  ibrav = 0, nat = 12, ntyp = 4
/
ATOMIC_SPECIES
Nd 144.24 Nd.upf
Sm 150.36 Sm.upf
Pa 231.04 Pa.upf
N 14.01 N.upf
ATOMIC_POSITIONS crystal
Nd 0.0000 0.0000 0.0000
Sm 0.1653 0.8347 0.5000
Sm 0.8347 0.1653 0.5000
Sm 0.5000 0.5000 0.5000
Pa 0.3331 0.6669 0.0000
Pa 0.6669 0.3331 0.0000
N 0.9232 0.5676 0.7709
N 0.7203 0.7203 0.2277
N 0.0768 0.4324 0.2291
N 0.5676 0.9232 0.7709
N 0.2797 0.2797 0.7723
N 0.4324 0.0768 0.2291
CELL_PARAMETERS angstrom
-5.6714 -1.5847 -1.8718
4.7440 -0.2681 -3.9499
1.3216 -4.8837 3.5297
```

Properties
Its space-group type is C2/m (12). Its formation energy from raw total energies is -153 kJ per mole of atoms.

---

# 12
# CdInI2

A geometry-optimized CdInI2 structure (PBE-GGA, Alexandria). Values from VASP.

The structure in Quantum ESPRESSO input format:
```
&SYSTEM
  ibrav = 0, nat = 8, ntyp = 3
/
ATOMIC_SPECIES
Cd 112.41 Cd.upf
In 114.82 In.upf
I 126.90 I.upf
ATOMIC_POSITIONS crystal
Cd 0.0424 0.9187 0.0709
Cd 0.0424 0.4187 0.0709
In 0.5425 0.9187 0.5709
In 0.0425 0.4187 0.5709
I 0.1680 0.0429 0.7994
I 0.9169 0.7945 0.3423
I 0.4395 0.2945 0.3423
I 0.6454 0.5429 0.7994
CELL_PARAMETERS angstrom
6.1153 0.0000 -1.4993
-0.4655 5.4555 -1.8985
-0.8057 -0.0037 9.9349
```

Properties
Its space-group type is C2/c (15). The polymorph energy (0 for the lowest one) comes out at 0 meV/atom. Its formation energy from raw total energies is -23 kJ per mole of atoms.

---

What did the fourth record say?
# Rb3ScCl

A geometry-optimized Rb3ScCl structure (PBE-GGA, Alexandria). Values from VASP.

The structure in Quantum ESPRESSO input format:
```
&SYSTEM
  ibrav = 0, nat = 5, ntyp = 3
/
ATOMIC_SPECIES
Sc 44.96 Sc.upf
Rb 85.47 Rb.upf
Cl 35.45 Cl.upf
ATOMIC_POSITIONS crystal
Sc 0.5000 0.5000 0.5000
Rb 0.0000 0.5000 0.0000
Rb 0.0000 0.0000 0.5000
Rb 0.5000 0.0000 0.0000
Cl 0.0000 0.0000 0.0000
CELL_PARAMETERS angstrom
-6.0885 -0.9985 2.0443
2.1096 -4.6649 4.0044
0.8520 4.4146 4.6938
```

Properties
Its space-group type is Pm-3m (221). The polymorph energy (0 for the lowest one) comes out at 0 meV/atom. Its formation energy from raw total energies is -19 kJ per mole of atoms.